Density functional theory data (PBE) for a relaxed structure of K2YTa.

a = 3.2203 Å, b = 3.2203 Å, c = 13.7823 Å
α = 90.00°, β = 90.00°, γ = 118.53°
Last column: nearest neighbours and their distance in Å.
Fractional positions:
K: 0.0000 0.0000 0.0170  6 K 3.22-3.29
K: 0.0000 0.0000 0.4830  6 K 3.22-3.29
Ta: 0.5000 0.5000 0.2500  6 Ta 3.22-3.29
Y: 0.5000 0.5000 0.7500  6 Y 3.22-3.29

Results
The density of states at the Fermi level comes out at 4.4 states/eV/cell. For the raw total energy, the calculation gives -4.011 eV/atom. Its total moment is 0.502 μB per cell. The distance to the lowest polymorph of the same formula is 1.72 eV/f.u. The space group is Cmmm. The formation energy comes out at 1.12 eV per atom.



Density functional theory data (PBE) for a relaxed structure of HOsRu2Rh.

a = 3.8974 Å, b = 3.8974 Å, c = 3.8526 Å
α = 90.00°, β = 90.00°, γ = 90.00°
Last column: nearest neighbours and their distance in Å.
Fractional positions:
Rh: 0.0000 0.0000 0.5000  2 H 1.93
Os: 0.5000 0.5000 0.5000  8 Ru 2.74, 4 Rh 2.76
H: 0.0000 0.0000 0.0000  2 Rh 1.93, 4 Ru 1.95
Ru: 0.0000 0.5000 0.0000  2 H 1.95
Ru: 0.5000 0.0000 0.0000  2 H 1.95

Results
The density of states at the Fermi level comes out at 5.6 states/eV/cell. For the raw total energy, the calculation gives -7.952 eV/atom. Its total moment is 0.000 μB per cell. The distance to the lowest polymorph of the same formula is 0.00 eV/f.u. The space group is P4/mmm.



Density functional theory data (PBE) for a relaxed structure of LiCaCuSe2.

a = 5.3498 Å, b = 5.6152 Å, c = 7.4628 Å
α = 112.10°, β = 90.00°, γ = 90.00°
Last column: nearest neighbours and their distance in Å.
Fractional positions:
Li: 0.5000 0.7500 0.0000  4 Se 2.64, 2 Li 2.81
Li: 0.5000 0.2500 0.0000  4 Se 2.64, 2 Li 2.81
Ca: 0.2381 0.7500 0.5000  8 Se 3.12-3.25
Ca: 0.7619 0.2500 0.5000  8 Se 3.12-3.25
Cu: 0.0000 0.0000 0.0000  2 Se 2.29
Cu: 0.0000 0.5000 0.0000  2 Se 2.29
Se: 0.7412 0.8683 0.7367  1 Cu 2.29
Se: 0.7412 0.6317 0.2633  1 Cu 2.29
Se: 0.2588 0.3683 0.7367  1 Cu 2.29
Se: 0.2588 0.1317 0.2633  1 Cu 2.29

Results
For the raw total energy, the calculation gives -4.053 eV/atom. Its total moment is 0.000 μB per cell. The space group is Cmme.



Number 1: density 4.60 Mg/m³. Number 2: density 14.08 Mg/m³. Number 3: density 4.29 Mg/m³.